Compound: VPPd
Source: Alexandria
Functional: PBE-GGA
Structure: optimized geometry

Its calculated volume is 42.4 Å³/cell. For the calculated density, the calculation gives 7.37 Mg/m³. The value obtained for the formation energy is -0.52 eV per formula unit.

Structure (POSCAR):
```
VPPd
1.0
-1.410 -2.081 2.255
2.747 0.249 1.948
-2.175 3.834 -0.350
P Pd V
1 1 1
Direct
0.280 0.280 0.561 P
0.952 0.952 0.904 Pd
0.618 0.618 0.235 V
```